(1)
Crystalline BaNp2SbO8 at its relaxed geometry. Source: Alexandria via LeMat-Bulk, functional PBE-GGA.

Properties
Calculated volume in Å³/cell: 199
Energy in eV per atom: -8.429
ΔE_f (raw) in meV/atom: -2462.7
Size of the total moment in μB/f.u.: 3.00
Density of states at the Fermi level in states/eV/cell: 5.59
SG: No. 10

a = 5.2931 Å, b = 5.2953 Å, c = 7.1239 Å
α = 90.00°, β = 89.98°, γ = 87.57°
Closest atoms and distances in Å follow each position.
Fractional coordinates of all 12 atoms:
O  0.2259  0.7727  0.2201  1 Np 2.01
O  0.7741  0.2273  0.2201  1 Np 2.01
Np  0.5000  0.5000  0.7555  6 O 2.01-2.24
O  0.7741  0.2273  0.7799  1 Np 2.01
O  0.2259  0.7727  0.7799  1 Np 2.01
Np  0.5000  0.5000  0.2445  6 O 2.01-2.24
O  0.6606  0.6619  0.5000  2 Np 2.20
Sb  0.0000  0.0000  0.0000  6 O 2.28-2.42
O  0.3394  0.3381  0.5000  2 Np 2.20
O  0.3173  0.3162  0.0000  2 Np 2.23-2.24, 1 Sb 2.42
Ba  0.0000  0.0000  0.5000  6 O 2.59-2.60
O  0.6827  0.6838  0.0000  2 Np 2.23-2.24, 1 Sb 2.42

=====

(2)
Crystalline Ba3NpSc2O8 at its relaxed geometry. Source: Alexandria via LeMat-Bulk, functional PBE-GGA.

Properties
Calculated volume in Å³/cell: 256
Energy in eV per atom: -8.027
ΔE_f (raw) in meV/atom: -2953.3
Size of the total moment in μB/f.u.: 3.00
Density of states at the Fermi level in states/eV/cell: 11.03
SG: No. 164

a = 6.1766 Å, b = 6.1766 Å, c = 7.7367 Å
α = 90.00°, β = 90.00°, γ = 120.00°
Closest atoms and distances in Å follow each position.
Fractional coordinates of all 14 atoms:
Ba  0.6667  0.3333  0.3488  1 O 2.41
Np  0.0000  0.0000  0.5000  6 O 2.23
O  0.1642  0.8358  0.3221  1 Sc 2.02, 1 Np 2.23
O  0.3283  0.1642  0.6779  1 Sc 2.02, 1 Np 2.23
Ba  0.0000  0.0000  0.0000  6 O 3.05
O  0.8358  0.1642  0.6779  1 Sc 2.02, 1 Np 2.23
O  0.8358  0.6717  0.6779  1 Sc 2.02, 1 Np 2.23
O  0.6667  0.3333  0.0379  1 Sc 1.90
Sc  0.6667  0.3333  0.7924  4 O 1.90-2.02
Ba  0.3333  0.6667  0.6512  1 O 2.41
O  0.6717  0.8358  0.3221  1 Sc 2.02, 1 Np 2.23
O  0.1642  0.3283  0.3221  1 Sc 2.02, 1 Np 2.23
O  0.3333  0.6667  0.9621  1 Sc 1.90
Sc  0.3333  0.6667  0.2076  4 O 1.90-2.02

=====

(3)
Crystalline BaNpScO6 at its relaxed geometry. Source: Alexandria via LeMat-Bulk, functional PBE-GGA.

Properties
Calculated volume in Å³/cell: 310
Energy in eV per atom: -8.659
ΔE_f (raw) in meV/atom: -2998.9
Size of the total moment in μB/f.u.: 0.00
SG: No. 163

a = 5.6193 Å, b = 5.6193 Å, c = 11.3251 Å
α = 90.00°, β = 90.00°, γ = 120.00°
Closest atoms and distances in Å follow each position.
Fractional coordinates of all 18 atoms:
O  0.9872  0.3747  0.1520  1 Np 2.03, 1 Sc 2.13
O  0.6125  0.9872  0.8480  1 Np 2.03, 1 Sc 2.13
O  0.3875  0.3747  0.3480  1 Np 2.03, 1 Sc 2.13
O  0.3747  0.3875  0.8480  1 Np 2.03, 1 Sc 2.13
O  0.9872  0.6125  0.3480  1 Np 2.03, 1 Sc 2.13
Ba  0.0000  0.0000  0.0000  6 O 2.75
O  0.6125  0.6253  0.6520  1 Np 2.03, 1 Sc 2.13
O  0.6253  0.6125  0.1520  1 Np 2.03, 1 Sc 2.13
O  0.3747  0.9872  0.6520  1 Np 2.03, 1 Sc 2.13
O  0.0128  0.6253  0.8480  1 Np 2.03, 1 Sc 2.13
Sc  0.6667  0.3333  0.7500  6 O 2.13
O  0.6253  0.0128  0.3480  1 Np 2.03, 1 Sc 2.13
Ba  0.0000  0.0000  0.5000  6 O 2.75
Sc  0.3333  0.6667  0.2500  6 O 2.13
O  0.3875  0.0128  0.1520  1 Np 2.03, 1 Sc 2.13
Np  0.6667  0.3333  0.2500  6 O 2.03
Np  0.3333  0.6667  0.7500  6 O 2.03
O  0.0128  0.3875  0.6520  1 Np 2.03, 1 Sc 2.13

=====

(4)
Crystalline Ba2NpSe2O2 at its relaxed geometry. Source: Alexandria via LeMat-Bulk, functional PBE-GGA.

Properties
Calculated volume in Å³/cell: 174
Energy in eV per atom: -7.167
ΔE_f (raw) in meV/atom: -2357.2
Size of the total moment in μB/f.u.: 3.00
Density of states at the Fermi level in states/eV/cell: 9.49
SG: No. 139

a = 4.5145 Å, b = 4.5145 Å, c = 9.1134 Å
α = 104.34°, β = 104.34°, γ = 90.00°
Closest atoms and distances in Å follow each position.
Fractional coordinates of all 7 atoms:
Se  0.1692  0.1692  0.3383  1 Np 2.89
O  0.0000  0.5000  0.0000  2 Np 2.26
Ba  0.6339  0.6339  0.2679  4 O 3.21, 5 Se 3.25-3.36
Se  0.8308  0.8308  0.6617  1 Np 2.89
Ba  0.3661  0.3661  0.7321  4 O 3.21, 5 Se 3.25-3.36
Np  0.0000  0.0000  0.0000  4 O 2.26
O  0.5000  0.0000  0.0000  2 Np 2.26

=====

(5)
Crystalline Ba2NpSe3O3 at its relaxed geometry. Source: Alexandria via LeMat-Bulk, functional PBE-GGA.

Properties
Calculated volume in Å³/cell: 227
Energy in eV per atom: -6.295
ΔE_f (raw) in meV/atom: -1615.8
Size of the total moment in μB/f.u.: 1.00
Density of states at the Fermi level in states/eV/cell: 4.85
SG: No. 189

a = 3.2212 Å, b = 9.0262 Å, c = 9.0262 Å
α = 120.00°, β = 90.00°, γ = 90.00°
Closest atoms and distances in Å follow each position.
Fractional coordinates of all 9 atoms:
O  0.5000  0.0000  0.8408  2 Np 2.16
Np  0.0000  0.0000  0.0000  6 O 2.16
O  0.5000  0.1592  0.1592  2 Np 2.16
Se  0.0000  0.3864  0.0000  2 Se 3.22, 4 Ba 3.23, 4 O 3.44, 1 Np 3.49
Se  0.0000  0.6136  0.6136  2 Se 3.22, 4 Ba 3.23, 4 O 3.44, 1 Np 3.49
Ba  0.5000  0.6667  0.3333  2 Ba 3.22, 6 Se 3.23
O  0.5000  0.8408  0.0000  2 Np 2.16
Se  0.0000  0.0000  0.3864  2 Se 3.22, 4 Ba 3.23, 4 O 3.44, 1 Np 3.49
Ba  0.5000  0.3333  0.6667  2 Ba 3.22, 6 Se 3.23

=====

(6)
Crystalline Ba3Np2Se2O5 at its relaxed geometry. Source: Alexandria via LeMat-Bulk, functional PBE-GGA.

Properties
Calculated volume in Å³/cell: 261
Energy in eV per atom: -7.896
ΔE_f (raw) in meV/atom: -2612.0
Size of the total moment in μB/f.u.: 6.00
Density of states at the Fermi level in states/eV/cell: 14.42
SG: No. 139

a = 4.4834 Å, b = 4.4834 Å, c = 13.3761 Å
α = 99.65°, β = 99.65°, γ = 90.00°
Closest atoms and distances in Å follow each position.
Fractional coordinates of all 12 atoms:
O  0.5000  0.5000  0.0000  2 Np 2.17
O  0.0814  0.5814  0.1627  2 Np 2.24
Ba  0.1748  0.1748  0.3495  5 Se 3.22-3.34, 4 O 3.30
O  0.9186  0.4186  0.8373  2 Np 2.24
Ba  0.8252  0.8252  0.6505  5 Se 3.22-3.34, 4 O 3.30
Se  0.6966  0.6966  0.3932  1 Np 2.94, 4 Ba 3.22
Np  0.5833  0.5833  0.1666  5 O 2.17-2.24
Np  0.4167  0.4167  0.8334  5 O 2.17-2.24
O  0.5814  0.0814  0.1627  2 Np 2.24
Ba  0.0000  0.0000  0.0000  12 O 3.08-3.17
Se  0.3034  0.3034  0.6068  1 Np 2.94, 4 Ba 3.22
O  0.4186  0.9186  0.8373  2 Np 2.24

=====

(7)
Crystalline BaNpSe2O8 at its relaxed geometry. Source: Alexandria via LeMat-Bulk, functional PBE-GGA.

Properties
Calculated volume in Å³/cell: 246
Energy in eV per atom: -6.819
ΔE_f (raw) in meV/atom: -1694.0
Size of the total moment in μB/f.u.: 1.00
SG: No. 164

a = 6.2508 Å, b = 6.2508 Å, c = 7.2842 Å
α = 90.00°, β = 90.00°, γ = 120.00°
Closest atoms and distances in Å follow each position.
Fractional coordinates of all 12 atoms:
O  0.1496  0.2993  0.8214  1 Se 2.00, 1 Np 2.08
O  0.3333  0.6667  0.5700  1 Se 1.65
O  0.1496  0.8504  0.8214  1 Se 2.00, 1 Np 2.08
O  0.7007  0.8504  0.8214  1 Se 2.00, 1 Np 2.08
O  0.2993  0.1496  0.1786  1 Se 2.00, 1 Np 2.08
Ba  0.0000  0.0000  0.5000  6 O 2.85
O  0.8504  0.1496  0.1786  1 Se 2.00, 1 Np 2.08
Se  0.3333  0.6667  0.7965  1 O 1.65
Se  0.6667  0.3333  0.2035  1 O 1.65
O  0.6667  0.3333  0.4300  1 Se 1.65
Np  0.0000  0.0000  0.0000  6 O 2.08
O  0.8504  0.7007  0.1786  1 Se 2.00, 1 Np 2.08

=====

(8)
Crystalline BaNpSi2O8 at its relaxed geometry. Source: Alexandria via LeMat-Bulk, functional PBE-GGA.

Properties
Calculated volume in Å³/cell: 183
Energy in eV per atom: -8.205
ΔE_f (raw) in meV/atom: -2757.0
Size of the total moment in μB/f.u.: 1.00
SG: No. 148

a = 5.0463 Å, b = 5.0463 Å, c = 8.8118 Å
α = 73.36°, β = 73.36°, γ = 60.00°
Closest atoms and distances in Å follow each position.
Fractional coordinates of all 12 atoms:
O  0.0085  0.3982  0.8498  1 Si 1.66
O  0.2565  0.9915  0.1502  1 Si 1.66
Np  0.0000  0.0000  0.0000  6 O 2.08
O  0.9915  0.6018  0.1502  1 Si 1.66
Ba  0.5000  0.5000  0.5000  6 O 3.00
O  0.6018  0.2565  0.1502  1 Si 1.66
O  0.7435  0.0085  0.8498  1 Si 1.66
Si  0.7416  0.7416  0.7751  4 O 1.59-1.66
O  0.3982  0.7435  0.8498  1 Si 1.66
O  0.1946  0.1946  0.4163  1 Si 1.59
Si  0.2584  0.2584  0.2249  4 O 1.59-1.66
O  0.8054  0.8054  0.5837  1 Si 1.59